No. 1
DFT (PBE-GGA) results for crystalline AcPr3In at its relaxed geometry.

D(E_F) = 14.265 states/eV per cell
M_tot = 0.0000 μB per atom
ΔE_f = -161 meV/atom
Distance to the lowest polymorph of the same formula = 0.00 kJ per mole of atoms

Unit cell a=5.1346 b=5.0528 c=13.5468 alpha=90.00 beta=79.08 gamma=90.00
Element x y z (fractional)
Ac1 0.4748 0.7500 0.6987
Ac2 0.1736 0.2500 0.3013
Pr1 0.7722 0.2500 0.1039
Pr2 0.3741 0.2500 0.9000
Pr3 0.5746 0.2500 0.4992
Pr4 0.2742 0.7500 0.1000
Pr5 0.8761 0.7500 0.8961
Pr6 0.0738 0.7500 0.5008
In1 0.6704 0.7500 0.3075
In2 0.9779 0.2500 0.6925

***

No. 2
DFT (PBE-GGA) results for crystalline AcPrIn4 at its relaxed geometry.

D(E_F) = 5.204 states/eV per cell
M_tot = 0.0000 μB per atom
ΔE_f = -422 meV/atom
Distance to the lowest polymorph of the same formula = 3.36 kJ per mole of atoms

Unit cell a=6.2188 b=6.2188 c=6.2188 alpha=60.00 beta=60.00 gamma=60.00
Element x y z (fractional)
Pr1 0.0000 0.0000 0.0000
Ac1 0.2500 0.2500 0.2500
In1 0.6252 0.6252 0.1243
In2 0.6252 0.1243 0.6252
In3 0.6252 0.6252 0.6252
In4 0.1243 0.6252 0.6252

***

No. 3
DFT (PBE-GGA) results for crystalline AcPr5In2 at its relaxed geometry.

D(E_F) = 12.210 states/eV per cell
M_tot = 0.0000 μB per atom
ΔE_f = -182 meV/atom

Unit cell a=3.8275 b=8.7586 c=8.7586 alpha=78.12 beta=77.38 gamma=77.38
Element x y z (fractional)
Ac1 0.0000 0.0000 0.0000
Pr1 0.0000 0.5000 0.5000
Pr2 0.6395 0.5815 0.1395
Pr3 0.3605 0.4185 0.8605
Pr4 0.3605 0.8605 0.4185
Pr5 0.6395 0.1395 0.5815
In1 0.7365 0.7635 0.7635
In2 0.2635 0.2365 0.2365